The following is a DFT calculation (PBE) of a geometry-optimized AcHoMgAl structure.

Unit cell a=7.704 b=7.704 c=7.704 alpha=90.00 beta=90.00 gamma=90.00
Fractional coordinates of all 16 atoms:
Ac 0.000 0.000 0.000
Ac 0.000 0.500 0.500
Ac 0.500 0.000 0.500
Ac 0.500 0.500 0.000
Ho 0.000 0.000 0.500
Ho 0.000 0.500 0.000
Ho 0.500 0.000 0.000
Ho 0.500 0.500 0.500
Mg 0.250 0.250 0.750
Mg 0.250 0.750 0.250
Mg 0.750 0.250 0.250
Mg 0.750 0.750 0.750
Al 0.250 0.250 0.250
Al 0.250 0.750 0.750
Al 0.750 0.250 0.750
Al 0.750 0.750 0.250

Values from the calculation:
Space-group type: No. 216
Energy of formation, eV/atom: -0.17
Volume, Å³ per cell: 457.2
Crystal system: cubic